Material: MnNi2PbO6
Method: DFT, PBE+U
State: relaxed

POSCAR file:
```
MnNi2PbO6
1.0
-2.6205 -1.3415 -4.3341
0.6255 -4.7732 -2.0690
-4.1911 -3.6396 0.4940
Mn Ni Pb O
1 2 1 6
Direct
0.8189 0.8188 0.5433 Mn
0.5147 0.5146 0.4561 Ni
0.0219 0.0219 0.9343 Ni
0.3078 0.3078 0.0765 Pb
0.6379 0.2068 0.2630 O
0.2067 0.8924 0.2631 O
0.8923 0.6379 0.2630 O
0.4369 0.7323 0.7386 O
0.7323 0.0922 0.7386 O
0.0923 0.4368 0.7386 O
```

Summary:
Calculated total energy: -5.671 eV per atom